[1]
First-principles (GGA-PBE) data for crystalline Y5GaNi2 at its relaxed geometry, as listed in Alexandria via LeMat-Bulk.

a b c (Å): 7.6249 7.6249 8.4985
angles (deg): 116.65 116.65 90.00
Element x y z (fractional)
Y (0.5220, 0.6983, 0.7203)
Y (0.0000, 0.0000, 0.0000)
Y (0.5000, 0.5000, 0.0000)
Y (0.9780, 0.4780, 0.2797)
Y (0.4780, 0.3017, 0.2797)
Y (0.3017, 0.8017, 0.2797)
Y (0.0220, 0.5220, 0.7203)
Y (0.8017, 0.9780, 0.2797)
Y (0.1983, 0.0220, 0.7203)
Y (0.6983, 0.1983, 0.7203)
Ni (0.3749, 0.8749, 0.0000)
Ni (0.8749, 0.6251, 0.0000)
Ni (0.6251, 0.1251, 0.0000)
Ni (0.1251, 0.3749, 0.0000)
Ga (0.7500, 0.7500, 0.5000)
Ga (0.2500, 0.2500, 0.5000)

## Properties
As for the crystal system: tetragonal. As for the density of states at the Fermi level: 1.26 states/eV per atom.

***

[2]
First-principles (GGA-PBE) data for crystalline Y3Ga7Ni2 at its relaxed geometry, as listed in Alexandria via LeMat-Bulk.

a b c (Å): 4.1596 4.1808 13.0616
angles (deg): 99.10 90.00 90.00
Element x y z (fractional)
Y (0.5000, 0.5000, 0.0000)
Y (0.0000, 0.1829, 0.3627)
Y (0.0000, 0.8171, 0.6373)
Ga (0.0000, 0.0000, 0.0000)
Ga (0.5000, 0.7222, 0.4443)
Ga (0.0000, 0.4129, 0.8288)
Ga (0.5000, 0.2778, 0.5557)
Ga (0.5000, 0.9149, 0.8283)
Ga (0.5000, 0.0851, 0.1717)
Ga (0.0000, 0.5871, 0.1712)
Ni (0.5000, 0.6295, 0.2615)
Ni (0.5000, 0.3705, 0.7385)

## Properties
As for the crystal system: monoclinic. As for the density of states at the Fermi level: 0.58 states/eV per atom.

***

[3]
First-principles (GGA-PBE) data for crystalline Y2Ga3Ni4 at its relaxed geometry, as listed in Alexandria via LeMat-Bulk.

a b c (Å): 5.3748 7.1487 7.9308
angles (deg): 90.00 109.81 90.00
Element x y z (fractional)
Ga (0.0173, 0.7500, 0.5347)
Ga (0.9827, 0.2500, 0.4653)
Ga (0.0000, 0.0000, 0.0000)
Ga (0.5173, 0.7500, 0.5347)
Ga (0.5000, 0.5000, 0.0000)
Ga (0.4827, 0.2500, 0.4653)
Ni (0.3248, 0.4879, 0.6495)
Ni (0.8248, 0.0121, 0.6495)
Ni (0.1820, 0.7500, 0.8640)
Ni (0.6820, 0.7500, 0.8640)
Ni (0.1752, 0.9879, 0.3505)
Ni (0.8180, 0.2500, 0.1360)
Ni (0.3180, 0.2500, 0.1360)
Ni (0.6752, 0.5121, 0.3505)
Y (0.8934, 0.4135, 0.7868)
Y (0.6066, 0.9135, 0.2132)
Y (0.1066, 0.5865, 0.2132)
Y (0.3934, 0.0865, 0.7868)

## Properties
As for the crystal system: orthorhombic. As for the density of states at the Fermi level: 0.68 states/eV per atom.

***

no.,E_form (eV/atom)
1,-0.382
2,-0.621
3,-0.547